(w)
4
Lattice="-2.353 2.387 -2.003 -2.933 -0.849 2.434 1.399 3.949 3.063" Properties=species:S:1:pos:R:3 comment="BaCuW2 | Alexandria via LeMat-Bulk | SCAN | PBEsol geometry" mass_density_g_cm3=11.93 vol_a3_per_cell=79.1 n_ef_per_ev_atom=1.032 pbc="T T T"
W -1.177 1.194 -1.002
W -1.467 -0.424 1.217
Ba -1.944 2.744 1.747
Cu 0.699 1.975 1.532

(x)
4
Lattice="4.729 0.000 0.000 2.364 4.095 0.000 2.364 1.365 3.861" Properties=species:S:1:pos:R:3 comment="BaCuW2 | Alexandria via LeMat-Bulk | SCAN | PBEsol geometry" mass_density_g_cm3=12.63 vol_a3_per_cell=74.8 n_ef_per_ev_atom=0.514 pbc="T T T"
Ba 4.729 2.730 1.930
W 7.093 4.095 2.896
W 0.000 0.000 0.000
Cu 2.364 1.365 0.965

(y)
4
Lattice="-0.992 2.593 1.472 -3.403 1.184 -4.378 -1.395 -4.455 3.552" Properties=species:S:1:pos:R:3 comment="BaCuW2 | Alexandria via LeMat-Bulk | SCAN | PBEsol geometry" mass_density_g_cm3=10.84 vol_a3_per_cell=87.1 n_ef_per_ev_atom=0.888 pbc="T T T"
W -1.925 0.276 1.571
W -0.071 -0.051 0.041
Ba -2.200 1.886 -1.451
Cu -3.792 -0.901 -0.968

(z)
4
Lattice="3.305 0.000 0.000 0.000 3.305 0.000 0.000 0.000 7.456" Properties=species:S:1:pos:R:3 comment="BaCuW2 | Alexandria via LeMat-Bulk | SCAN | PBEsol geometry" mass_density_g_cm3=11.60 vol_a3_per_cell=81.4 n_ef_per_ev_atom=0.932 pbc="T T T"
W 0.000 0.000 2.570
W 0.000 0.000 4.886
Cu 1.652 1.652 3.728
Ba 1.652 1.652 0.000

So which one is most stable? That would be (z), about 239 meV/atom below the next structure.